Compound: Rb3CaPb2Br9
Source: Alexandria via LeMat-Bulk
Functional: PBE
Structure: optimized geometry

Calculated values
Total moment (Bohr magnetons per cell): 0.00
Space-group type: P-3m1 (164)
E_form (uncorrected) (eV per atom): -1.454

Lattice parameters (Å, degrees): 8.305 8.305 10.351 90.00 90.00 120.00
Positions (direct):
Rb 0.000 0.000 0.000
Rb 0.333 0.667 0.628
Rb 0.667 0.333 0.372
Ca 0.000 0.000 0.500
Pb 0.333 0.667 0.168
Pb 0.667 0.333 0.832
Br 0.000 0.500 0.000
Br 0.165 0.329 0.343
Br 0.165 0.835 0.343
Br 0.329 0.165 0.657
Br 0.500 0.000 0.000
Br 0.500 0.500 0.000
Br 0.671 0.835 0.343
Br 0.835 0.165 0.657
Br 0.835 0.671 0.657